The following is a PBE calculation of an optimized crystal structure of ZrCdSe2, from Alexandria.

Values from the calculation:
Formation energy without anion corrections   -19 kJ per mole of atoms
Total moment   0.000 μB per formula unit
SG   R-3m
D(E_F)   0.21 states/eV/atom

Cell and atoms, written as POSCAR:
```
ZrCdSe2
1.0
3.919 0.000 0.000
-1.959 3.394 0.000
0.000 0.000 25.057
Zr Cd Se
3 3 6
direct
0.000 0.000 0.000
0.333 0.667 0.667
0.667 0.333 0.333
0.000 0.000 0.500
0.333 0.667 0.167
0.667 0.333 0.833
0.000 0.000 0.101
0.000 0.000 0.899
0.333 0.667 0.565
0.333 0.667 0.768
0.667 0.333 0.232
0.667 0.333 0.435
```